A plane-wave DFT calculation with PBE-GGA was carried out for a relaxed Ho2BTe crystal.

Raw formation energy: -664.2 meV per atom

Cell lengths 3.8938, 3.8938, 21.5620 Å; angles 90.00, 90.00, 120.00 degrees
Closest atoms and distances in Å follow each position.
Space group R-3m (No. 166, hexagonal axes)
Unique sites:
Ho1 0.0000 0.0000 0.2341 (multiplicity 6)  3 B 2.68
B1 0.0000 0.0000 0.5000 (multiplicity 3)  6 Ho 2.68
Te1 0.0000 0.0000 0.0000 (multiplicity 3)  6 Ho 3.10

=====

A plane-wave DFT calculation with PBE-GGA was carried out for a relaxed Ho5B2Te crystal.

Raw formation energy: -331.2 meV per atom

Cell lengths 7.0922, 7.0922, 14.1468 Å; angles 90.00, 90.00, 90.00 degrees
Closest atoms and distances in Å follow each position.
Space group I4/mcm (No. 140)
Unique sites:
Ho1 0.0000 0.0000 0.0000 (multiplicity 4)  4 B 2.96, 8 Ho 3.24
Ho2 0.1638 0.3362 0.1316 (multiplicity 16)  2 B 2.65
B1 0.0934 0.4066 0.5000 (multiplicity 8)  1 B 1.87
Te1 0.0000 0.0000 0.2500 (multiplicity 4)  8 Ho 3.14

=====

A plane-wave DFT calculation with PBE-GGA was carried out for a relaxed HoThB4 crystal.

Calculated formation energy: -342 meV per atom

Cell lengths 6.2703, 12.2919, 4.0495 Å; angles 90.00, 90.00, 90.00 degrees
Closest atoms and distances in Å follow each position.
Space group Pbam (No. 55)
Unique sites:
Ho1 0.1403 0.0872 0.0000 (multiplicity 4)  10 B 2.57-2.64, 1 Ho 2.77
Th1 0.1301 0.3454 0.0000 (multiplicity 4)  14 B 2.88-3.04, 2 Ho 3.17-3.18
B1 0.0323 0.8067 0.5000 (multiplicity 4)  2 B 1.80-1.86
B2 0.1184 0.9514 0.5000 (multiplicity 4)  3 B 1.83-1.91
B3 0.1285 0.5261 0.5000 (multiplicity 4)  2 B 1.73-1.83
B4 0.2073 0.6906 0.5000 (multiplicity 4)  1 B 1.80

=====

A plane-wave DFT calculation with PBE-GGA was carried out for a relaxed HoTiB crystal.

Calculated formation energy: -55 meV per atom

Cell lengths 3.7685, 11.5537, 6.8282 Å; angles 90.00, 90.00, 90.00 degrees
Closest atoms and distances in Å follow each position.
Space group Amm2 (No. 38)
Unique sites:
Ho1 0.0000 0.0000 0.0000 (multiplicity 2)  5 B 2.76-2.81
Ho2 0.0000 0.2012 0.3692 (multiplicity 4)  5 B 2.71-2.82, 4 Ti 2.95-2.99
Ti1 0.5000 0.0000 0.3742 (multiplicity 2)  2 B 2.41
Ti2 0.5000 0.1269 0.7071 (multiplicity 4)  4 B 2.48-2.51, 1 Ti 2.70
B1 0.0000 0.0000 0.5953 (multiplicity 2)  6 Ti 2.41-2.51
B2 0.5000 0.1759 0.0645 (multiplicity 4)  2 Ti 2.48-2.51, 2 Ho 2.71

=====

A plane-wave DFT calculation with PBE-GGA was carried out for a relaxed HoTiB4 crystal.

Calculated formation energy: -706 meV per atom

Cell lengths 6.0557, 11.7196, 3.5581 Å; angles 90.00, 90.00, 90.00 degrees
Closest atoms and distances in Å follow each position.
Space group Pbam (No. 55)
Unique sites:
Ho1 0.1262 0.1516 0.0000 (multiplicity 4)  14 B 2.67-2.83
Ti1 0.1317 0.4140 0.0000 (multiplicity 4)  10 B 2.35-2.37, 1 Ti 2.57
B1 0.0203 0.6939 0.5000 (multiplicity 4)  3 B 1.80-1.91
B2 0.1142 0.5473 0.5000 (multiplicity 4)  3 B 1.77-1.81
B3 0.1321 0.9677 0.5000 (multiplicity 4)  3 B 1.77-1.86
B4 0.2056 0.8137 0.5000 (multiplicity 4)  3 B 1.80-1.91

=====

A plane-wave DFT calculation with PBE-GGA was carried out for a relaxed HoTmB12 crystal.

Calculated formation energy: -365 meV per atom

Cell lengths 4.0848, 4.0848, 8.1756 Å; angles 90.00, 90.00, 90.00 degrees
Closest atoms and distances in Å follow each position.
Space group P4/mmm (No. 123)
Unique sites:
Ho1 0.0000 0.0000 0.0000 (multiplicity 1)  24 B 3.00
Tm1 0.0000 0.0000 0.5000 (multiplicity 1)  24 B 3.00
B1 0.1986 0.5000 0.2505 (multiplicity 8)  5 B 1.62-1.74
B2 0.5000 0.5000 0.0994 (multiplicity 2)  5 B 1.63-1.74
B3 0.5000 0.5000 0.4009 (multiplicity 2)  5 B 1.62-1.74

=====

A plane-wave DFT calculation with PBE-GGA was carried out for a relaxed Ho2TmB6 crystal.

Calculated formation energy: -616 meV per atom

Cell lengths 5.6647, 5.6647, 3.8271 Å; angles 90.00, 90.00, 120.00 degrees
Closest atoms and distances in Å follow each position.
Space group P6/mmm (No. 191)
Unique sites:
Ho1 0.3333 0.6667 0.0000 (multiplicity 2)  12 B 2.69
Tm1 0.0000 0.0000 0.0000 (multiplicity 1)  12 B 2.68
B1 0.0000 0.3320 0.5000 (multiplicity 6)  3 B 1.88-1.90

=====

A plane-wave DFT calculation with PBE-GGA was carried out for a relaxed HoTm3B crystal.

Calculated formation energy: 48 meV per atom

Cell lengths 5.0866, 5.0866, 5.0866 Å; angles 90.00, 90.00, 90.00 degrees
Closest atoms and distances in Å follow each position.
Space group Pm-3m (No. 221)
Unique sites:
Ho1 0.0000 0.0000 0.0000 (multiplicity 1)  12 Tm 3.60
Tm1 0.0000 0.5000 0.5000 (multiplicity 3)  2 B 2.54
B1 0.5000 0.5000 0.5000 (multiplicity 1)  6 Tm 2.54